Here is LaVAsF2 after structural relaxation from the Alexandria database. Energies are from PBE with a Hubbard U.

Properties
* final energy: -5.6988 eV/atom

```
data_LaVAsF2
_chemical_formula_sum 'La1 V1 As1 F2'
_space_group_name_H-M_alt 'P 1'
_space_group_IT_number 1
_space_group_name_Hall 'P 1'
_cell_length_a 4.3916
_cell_length_b 6.9349
_cell_length_c 4.3916
_cell_angle_alpha 90.00
_cell_angle_beta 90.00
_cell_angle_gamma 90.00
loop_
_atom_site_label
_atom_site_fract_x
_atom_site_fract_y
_atom_site_fract_z
F1 0.5000 0.0000 0.0000
V1 0.0000 0.5000 0.0000
F2 0.0000 0.0000 0.5000
La1 0.0000 0.0000 0.0000
As1 0.5000 0.5000 0.5000
```